First-principles (GGA-PBE) data for an optimized crystal structure of La2Sm4Tl, as listed in Alexandria.

The structure belongs to space group P2_1/m (No. 11); the cell edges are 5.885, 6.797 and 11.872 Å and the angles 90.00°, 103.31° and 90.00°. The distinct sites, in fractional coordinates, are La at (0.013, 0.250, 0.476), La at (0.349, 0.750, 0.076), Sm at (0.149, 0.007, 0.782), Sm at (0.205, 0.250, 0.063), Sm at (0.417, 0.750, 0.378) and Tl at (0.443, 0.250, 0.332).

As for the final energy: -4.472 eV/atom. The value obtained for the energy above the most stable polymorph in this dataset is 0.0 meV per atom. Its volume is 462.11 Å³ per cell.